1.
Computed, not measured: a relaxed structure of MnSb2Ru at the PBE level of DFT.

Properties
- DFT total energy: -6.621 eV/atom
- E above lowest polymorph: 0.003 eV/atom
- Space group: No. 38
- Raw formation energy: 5 kJ per mole of atoms

CIF file:
```
data_MnSb2Ru
_symmetry_space_group_name_H-M 'P 1'
_symmetry_Int_Tables_number 1
_cell_length_a 4.358
_cell_length_b 3.369
_cell_length_c 10.151
_cell_angle_alpha 90.00
_cell_angle_beta 90.00
_cell_angle_gamma 90.00
loop_
_symmetry_equiv_pos_as_xyz
'x,y,z'
loop_
_atom_site_label
_atom_site_fract_x
_atom_site_fract_y
_atom_site_fract_z
Mn1 0.000 0.000 0.000
Mn2 0.000 0.500 0.500
Sb1 0.000 0.000 0.725
Sb2 0.000 0.500 0.225
Sb3 0.500 0.000 0.438
Sb4 0.500 0.500 0.938
Ru1 0.500 0.000 0.159
Ru2 0.500 0.500 0.659
```


2.
Computed, not measured: a relaxed structure of MnSbRu at the PBE level of DFT.

Properties
- DFT total energy: -7.383 eV/atom
- Space group: No. 8
- Raw formation energy: 13 kJ per mole of atoms

CIF file:
```
data_MnSbRu
_symmetry_space_group_name_H-M 'P 1'
_symmetry_Int_Tables_number 1
_cell_length_a 9.773
_cell_length_b 3.147
_cell_length_c 6.601
_cell_angle_alpha 90.00
_cell_angle_beta 97.60
_cell_angle_gamma 90.00
loop_
_symmetry_equiv_pos_as_xyz
'x,y,z'
loop_
_atom_site_label
_atom_site_fract_x
_atom_site_fract_y
_atom_site_fract_z
Mn1 0.000 0.000 0.000
Mn2 0.138 0.000 0.384
Mn3 0.500 0.500 0.000
Mn4 0.638 0.500 0.384
Sb1 0.236 0.500 0.112
Sb2 0.349 0.000 0.681
Sb3 0.736 0.000 0.112
Sb4 0.849 0.500 0.681
Ru1 0.126 0.500 0.718
Ru2 0.440 0.000 0.315
Ru3 0.626 0.000 0.718
Ru4 0.940 0.500 0.315
```


3.
Computed, not measured: a relaxed structure of Mn2SbRu at the PBE level of DFT.

Properties
- DFT total energy: -7.752 eV/atom
- Space group: No. 99
- Raw formation energy: 18 kJ per mole of atoms

CIF file:
```
data_Mn2SbRu
_symmetry_space_group_name_H-M 'P 1'
_symmetry_Int_Tables_number 1
_cell_length_a 3.121
_cell_length_b 3.121
_cell_length_c 5.988
_cell_angle_alpha 90.00
_cell_angle_beta 90.00
_cell_angle_gamma 90.00
loop_
_symmetry_equiv_pos_as_xyz
'x,y,z'
loop_
_atom_site_label
_atom_site_fract_x
_atom_site_fract_y
_atom_site_fract_z
Mn1 0.000 0.000 0.000
Mn2 0.500 0.500 0.220
Sb1 0.500 0.500 0.741
Ru1 0.000 0.000 0.476
```


4.
Computed, not measured: a relaxed structure of Mn4SbRu at the PBE level of DFT.

Properties
- DFT total energy: -8.068 eV/atom
- Space group: No. 216
- Raw formation energy: 27 kJ per mole of atoms

CIF file:
```
data_Mn4SbRu
_symmetry_space_group_name_H-M 'P 1'
_symmetry_Int_Tables_number 1
_cell_length_a 4.824
_cell_length_b 4.824
_cell_length_c 4.824
_cell_angle_alpha 60.00
_cell_angle_beta 60.00
_cell_angle_gamma 60.00
loop_
_symmetry_equiv_pos_as_xyz
'x,y,z'
loop_
_atom_site_label
_atom_site_fract_x
_atom_site_fract_y
_atom_site_fract_z
Mn1 0.124 0.124 0.124
Mn2 0.124 0.124 0.629
Mn3 0.124 0.629 0.124
Mn4 0.629 0.124 0.124
Sb1 0.500 0.500 0.500
Ru1 0.750 0.750 0.750
```